# Na2MnVO5 (PBE with a Hubbard U, optimized geometry)
# * electronic total energy: -6.3941 eV/atom
# * DOS(E_F): 0.023 states/eV per atom
data_Na2MnVO5
_symmetry_space_group_name_H-M 'P 1'
_symmetry_Int_Tables_number 1
_cell_length_a 3.110
_cell_length_b 6.256
_cell_length_c 11.484
_cell_angle_alpha 90.00
_cell_angle_beta 90.00
_cell_angle_gamma 104.39
loop_
_symmetry_equiv_pos_as_xyz
'x,y,z'
loop_
_atom_site_label
_atom_site_type_symbol
_atom_site_fract_x
_atom_site_fract_y
_atom_site_fract_z
Na1 Na 0.840 0.680 0.784
Na2 Na 0.079 0.159 0.667
Na3 Na 0.160 0.320 0.284
Na4 Na 0.921 0.841 0.167
Mn1 Mn 0.768 0.536 0.529
Mn2 Mn 0.232 0.464 0.029
V1 V 0.532 0.063 0.943
V2 V 0.468 0.937 0.443
O1 O 0.385 0.770 0.010
O2 O 0.700 0.400 0.922
O3 O 0.497 0.994 0.798
O4 O 0.266 0.532 0.638
O5 O 0.932 0.864 0.532
O6 O 0.615 0.230 0.510
O7 O 0.300 0.600 0.422
O8 O 0.503 0.006 0.298
O9 O 0.734 0.468 0.138
O10 O 0.068 0.136 0.032